Material: HfZrCu2F
Method: DFT, GGA-PBE
State: relaxed

a b c (Å): 4.7977 4.7977 5.3024
angles (deg): 90.00 90.00 90.00
Fractional coordinates of all 5 atoms:
F 0.5000 0.5000 0.5000
Cu 0.0000 0.5000 0.0000
Cu 0.5000 0.0000 0.0000
Hf 0.0000 0.0000 0.5000
Zr 0.0000 0.0000 0.0000

Values from the calculation:
E_form (uncorrected)	1.07	eV/atom
ρ	5.7	Mg/m³
crystal system	tetragonal
V	24.4	Å³ per atom

Material: CuHg3F8
Method: DFT, GGA-PBE
State: relaxed

a b c (Å): 6.4100 6.4100 6.6292
angles (deg): 90.00 90.00 124.45
Fractional coordinates of all 12 atoms:
Hg 0.0000 0.5000 0.2590
Hg 0.5000 0.0000 0.7410
Hg 0.5000 0.5000 0.0000
F 0.2889 0.7111 0.0000
F 0.2939 0.7061 0.5000
F 0.6943 0.7454 0.7141
F 0.7454 0.6943 0.2859
F 0.7061 0.2939 0.5000
F 0.7111 0.2889 0.0000
F 0.2546 0.3057 0.2859
F 0.3057 0.2546 0.7141
Cu 0.5000 0.5000 0.5000

Values from the calculation:
E_form (uncorrected)	-1.39	eV/atom
ρ	6.0	Mg/m³
crystal system	orthorhombic
V	18.7	Å³ per atom

Material: Cu4HgF8
Method: DFT, GGA-PBE
State: relaxed

a b c (Å): 6.7547 6.7547 6.7996
angles (deg): 56.36 56.36 54.19
Fractional coordinates of all 13 atoms:
Cu 0.0000 0.0000 0.0000
Cu 0.5000 0.5000 0.0000
Cu 0.0000 0.5000 0.0000
Cu 0.5000 0.0000 0.0000
Hg 0.5000 0.5000 0.5000
F 0.2772 0.7434 0.7926
F 0.7517 0.7517 0.8248
F 0.7434 0.2772 0.7926
F 0.7228 0.2566 0.2074
F 0.2483 0.2483 0.1752
F 0.2566 0.7228 0.2074
F 0.2105 0.2105 0.8371
F 0.7895 0.7895 0.1629

Values from the calculation:
E_form (uncorrected)	-1.32	eV/atom
ρ	5.1	Mg/m³
crystal system	monoclinic
V	15.1	Å³ per atom

Material: Cu2HgF11
Method: DFT, GGA-PBE
State: relaxed

a b c (Å): 8.8806 8.0233 8.0233
angles (deg): 67.49 56.40 56.40
Fractional coordinates of all 28 atoms:
Cu 0.2039 0.7957 0.2043
Cu 0.7961 0.2043 0.7957
Cu 0.7039 0.7043 0.2957
Cu 0.2961 0.2957 0.7043
F 0.2805 0.3346 0.9211
F 0.0361 0.1654 0.5789
F 0.9201 0.4640 0.2803
F 0.6428 0.3570 0.6430
F 0.1427 0.1430 0.8570
F 0.3356 0.2803 0.4640
F 0.4201 0.7803 0.9640
F 0.8356 0.9640 0.7803
F 0.5361 0.0789 0.6654
F 0.9639 0.8346 0.4211
F 0.3572 0.6430 0.3570
F 0.5799 0.2197 0.0360
F 0.4639 0.9211 0.3346
F 0.7805 0.4211 0.8346
F 0.0000 0.0000 0.0000
F 0.5000 0.5000 0.5000
F 0.8572 0.8570 0.1430
F 0.6644 0.7197 0.5360
F 0.0799 0.5360 0.7197
F 0.7195 0.6654 0.0789
F 0.2195 0.5789 0.1654
F 0.1644 0.0360 0.2197
Hg 0.7500 0.7500 0.7500
Hg 0.2500 0.2500 0.2500

Values from the calculation:
E_form (uncorrected)	-1.00	eV/atom
ρ	4.5	Mg/m³
crystal system	orthorhombic
V	14.1	Å³ per atom

Material: CuHg3F
Method: DFT, GGA-PBE
State: relaxed

a b c (Å): 4.9704 4.9704 4.9704
angles (deg): 90.00 90.00 90.00
Fractional coordinates of all 5 atoms:
Hg 0.5000 0.0000 0.0000
Hg 0.0000 0.0000 0.5000
Hg 0.0000 0.5000 0.0000
Cu 0.5000 0.5000 0.5000
F 0.0000 0.0000 0.0000

Values from the calculation:
E_form (uncorrected)	0.21	eV/atom
ρ	9.3	Mg/m³
E above lowest polymorph	408.2	meV/atom
crystal system	cubic
V	24.6	Å³ per atom

Material: CuHg2F
Method: DFT, GGA-PBE
State: relaxed

a b c (Å): 4.6152 4.6152 4.6152
angles (deg): 60.00 60.00 60.00
Fractional coordinates of all 4 atoms:
Hg 0.2500 0.2500 0.2500
Hg 0.7500 0.7500 0.7500
F 0.0000 0.0000 0.0000
Cu 0.5000 0.5000 0.5000

Values from the calculation:
E_form (uncorrected)	-0.27	eV/atom
ρ	11.6	Mg/m³
E above lowest polymorph	171.3	meV/atom
crystal system	cubic
V	17.4	Å³ per atom